# ThMnTe3 | Alexandria via LeMat-Bulk | PBE | optimized geometry
# - Crystal system: orthorhombic
# - ΔE_f (raw): -0.67 eV per atom
# - Density: 5.9 g/cm3
data_ThMnTe3
_symmetry_space_group_name_H-M 'A m a 2'
_symmetry_Int_Tables_number 40
_cell_length_a 4.5988
_cell_length_b 20.7551
_cell_length_c 7.8583
_cell_angle_alpha 90.00
_cell_angle_beta 90.00
_cell_angle_gamma 90.00
loop_
_symmetry_equiv_pos_as_xyz
'x,y,z'
'-x,-y,z'
'-x+1/2,y,z'
'x+1/2,-y,z'
'x,y+1/2,z+1/2'
'-x,-y+1/2,z+1/2'
'-x+1/2,y+1/2,z+1/2'
'x+1/2,-y+1/2,z+1/2'
loop_
_atom_site_label
_atom_site_type_symbol
_atom_site_fract_x
_atom_site_fract_y
_atom_site_fract_z
Th1 Th 0.2500 0.1703 0.0000
Mn1 Mn 0.2500 0.4579 0.6815
Te1 Te 0.2500 0.0804 0.3285
Te2 Te 0.2500 0.2414 0.6439
Te3 Te 0.2500 0.4156 0.3568

# Nd5TlAu2 | Alexandria via LeMat-Bulk | PBE | optimized geometry
# - Crystal system: tetragonal
# - Density: 9.3 g/cm3
# - Energy of formation from the pure elements: -0.50 eV/atom
data_Nd5TlAu2
_symmetry_space_group_name_H-M 'I 4/m c m'
_symmetry_Int_Tables_number 140
_symmetry_space_group_name_Hall '-I 4 2c'
_cell_length_a 8.3923
_cell_length_b 8.3923
_cell_length_c 13.4379
_cell_angle_alpha 90.00
_cell_angle_beta 90.00
_cell_angle_gamma 90.00
loop_
_atom_site_label
_atom_site_type_symbol
_atom_site_fract_x
_atom_site_fract_y
_atom_site_fract_z
Nd1 Nd 0.0000 0.0000 0.0000
Nd2 Nd 0.1554 0.3446 0.1444
Tl1 Tl 0.0000 0.0000 0.2500
Au1 Au 0.1350 0.3650 0.5000

# NpAlAs | Alexandria via LeMat-Bulk | PBE | optimized geometry
# - Crystal system: monoclinic
# - Density: 9.1 g/cm3
# - Energy of formation from the pure elements: -0.40 eV/atom
data_NpAlAs
_symmetry_space_group_name_H-M 'C 1 2/m 1'
_symmetry_Int_Tables_number 12
_cell_length_a 5.8438
_cell_length_b 5.8451
_cell_length_c 7.7672
_cell_angle_alpha 90.00
_cell_angle_beta 111.84
_cell_angle_gamma 90.00
loop_
_symmetry_equiv_pos_as_xyz
'x,y,z'
'-x,-y,-z'
'-x,y,-z'
'x,-y,z'
'x+1/2,y+1/2,z'
'-x+1/2,-y+1/2,-z'
'-x+1/2,y+1/2,-z'
'x+1/2,-y+1/2,z'
loop_
_atom_site_label
_atom_site_type_symbol
_atom_site_fract_x
_atom_site_fract_y
_atom_site_fract_z
Np1 Np 0.1516 0.0000 0.3065
Al1 Al 0.2500 0.2500 0.0000
As1 As 0.1442 0.5000 0.2920

# YZrBe | Alexandria via LeMat-Bulk | PBE | optimized geometry
# - Crystal system: tetragonal
# - Density: 5.0 g/cm3
# - Energy of formation from the pure elements: 0.09 eV/atom
data_YZrBe
_symmetry_space_group_name_H-M 'I 4 m m'
_symmetry_Int_Tables_number 107
_symmetry_space_group_name_Hall 'I 4 -2'
_cell_length_a 3.2736
_cell_length_b 3.2736
_cell_length_c 11.7616
_cell_angle_alpha 90.00
_cell_angle_beta 90.00
_cell_angle_gamma 90.00
loop_
_atom_site_label
_atom_site_type_symbol
_atom_site_fract_x
_atom_site_fract_y
_atom_site_fract_z
Y1 Y 0.0000 0.0000 0.0000
Zr1 Zr 0.0000 0.0000 0.7113
Be1 Be 0.0000 0.0000 0.3367